Below is a geometry-optimized NaB2MoO6 structure, with properties calculated at the PBE+U level.

Computed properties:
total DFT energy (no corrections)	-7.10	eV per atom

a b c (Å): 5.014 6.595 6.595
angles (deg): 89.37 76.26 76.26
Element x y z (fractional)
O1 0.634 0.206 0.589
O2 0.828 0.373 0.280
O3 0.172 0.627 0.720
O4 0.366 0.794 0.411
O5 0.134 0.589 0.206
O6 0.286 0.250 0.018
O7 0.672 0.720 0.627
O8 0.786 0.018 0.250
O9 0.714 0.750 0.982
O10 0.328 0.280 0.373
O11 0.214 0.982 0.750
O12 0.866 0.411 0.794
B1 0.840 0.639 0.781
B2 0.340 0.781 0.639
B3 0.660 0.219 0.361
B4 0.160 0.361 0.219
Mo1 0.750 0.724 0.276
Mo2 0.250 0.276 0.724
Na1 0.250 0.909 0.091
Na2 0.750 0.091 0.909